# 1
The following is a PBE-GGA calculation of a geometry-optimized BaSO3 structure, from Alexandria via LeMat-Bulk.

abc: 4.7127 5.5701 7.0264
angles: 90.00 109.03 90.00
With the nearest neighbours (Å) after each atom.
Space group Pm (No. 6)
Symmetry-distinct sites (fractional):
Ba1 0.0000 0.0000 0.0000  9 O 2.82-3.03
Ba2 0.2847 0.5000 0.5577  9 O 2.82-3.02
S1 0.5807 0.5000 0.0967  3 O 1.55
S2 0.7741 0.0000 0.4635  3 O 1.55
O1 0.0725 0.0000 0.4153  1 S 1.55
O2 0.4722 0.2806 0.9560  1 S 1.55
O3 0.8014 0.2197 0.6040  1 S 1.55
O4 0.9260 0.5000 0.1467  1 S 1.55

Summary:
DFT total energy ... -0.2335 Ha/atom
V ... 17.4 Å³ per atom
Mass density ... 4.141 Mg/m³
Total moment ... 0.0 Bohr magnetons per cell
Raw formation energy ... -2.17 eV/atom



# 2
The following is a PBE-GGA calculation of a geometry-optimized ErTi6 structure, from Alexandria via LeMat-Bulk.

abc: 6.9152 6.9152 6.9152
angles: 90.00 90.00 90.00
With the nearest neighbours (Å) after each atom.
Space group Im-3m (No. 229)
Symmetry-distinct sites (fractional):
Er1 0.0000 0.0000 0.0000  24 Ti 3.87
Ti1 0.0000 0.2500 0.5000  4 Ti 2.44

Summary:
DFT total energy ... -0.2209 Ha/atom
V ... 23.6 Å³ per atom
Formation energy from the elements ... 9.85 eV per formula unit
Mass density ... 4.564 Mg/m³
Total moment ... 14.4 Bohr magnetons per cell



# 3
The following is a PBE-GGA calculation of a geometry-optimized YGa4Pd structure, from Alexandria via LeMat-Bulk.

abc: 4.2601 6.7227 8.0402
angles: 90.00 105.01 90.00
With the nearest neighbours (Å) after each atom.
Space group P2_1/m (No. 11)
Symmetry-distinct sites (fractional):
Y1 0.1254 0.2500 0.2456  5 Ga 2.88-3.06, 2 Pd 3.21
Ga1 0.0618 0.7500 0.1247  1 Pd 2.49
Ga2 0.3228 0.0513 0.6473  3 Pd 2.56-2.62, 2 Ga 2.67-2.76
Ga3 0.5000 0.0000 0.0000  6 Ga 2.76-2.88
Pd1 0.2226 0.7500 0.4450  7 Ga 2.49-2.62

Summary:
DFT total energy ... -0.1673 Ha/atom
V ... 18.5 Å³ per atom
Formation energy from the elements ... -3.55 eV per formula unit
Mass density ... 7.081 Mg/m³
Total moment ... 0.0 Bohr magnetons per cell



# 4
The following is a PBE-GGA calculation of a geometry-optimized Pm4GeBi2Te structure, from Alexandria via LeMat-Bulk.

abc: 7.7681 4.4545 7.7703
angles: 90.00 109.12 90.00
With the nearest neighbours (Å) after each atom.
Space group P2/m (No. 10)
Symmetry-distinct sites (fractional):
Pm1 0.2340 0.0000 0.2340  2 Ge 3.07, 1 Te 3.17, 3 Bi 3.17-3.27
Pm2 0.2379 0.5000 0.7589  1 Ge 3.03, 3 Bi 3.16-3.30, 2 Te 3.18
Ge1 0.0000 0.5000 0.0000  6 Pm 3.03-3.07
Bi1 0.0000 0.0000 0.5000  6 Pm 3.16-3.17
Bi2 0.5000 0.5000 0.5000  6 Pm 3.27-3.30
Te1 0.5000 0.0000 0.0000  6 Pm 3.17-3.18

Summary:
DFT total energy ... -0.1974 Ha/atom
V ... 31.8 Å³ per atom
Mass density ... 7.832 Mg/m³
Total moment ... 0.0 Bohr magnetons per cell
Raw formation energy ... -1.06 eV/atom



# 5
The following is a PBE-GGA calculation of a geometry-optimized ReHg2P structure, from Alexandria via LeMat-Bulk.

abc: 2.8131 3.7847 16.8174
angles: 90.00 90.00 90.00
With the nearest neighbours (Å) after each atom.
Space group Immm (No. 71)
Symmetry-distinct sites (fractional):
Re1 0.0000 0.0000 0.0000  4 P 2.36
Hg1 0.0000 0.5000 0.1744  2 Hg 2.81
P1 0.0000 0.0000 0.5000  4 Re 2.36

Summary:
DFT total energy ... -0.1527 Ha/atom
V ... 22.4 Å³ per atom
Formation energy from the elements ... 1.84 eV per formula unit
Mass density ... 11.470 Mg/m³
Total moment ... 0.0 Bohr magnetons per cell



# 6
The following is a PBE-GGA calculation of a geometry-optimized TiGeRu3 structure, from Alexandria via LeMat-Bulk.

abc: 4.5124 4.5124 4.5124
angles: 90.00 90.00 90.00
With the nearest neighbours (Å) after each atom.
Space group Pm-3m (No. 221)
Symmetry-distinct sites (fractional):
Ti1 0.0000 0.0000 0.0000  12 Ru 3.19
Ge1 0.5000 0.5000 0.5000  6 Ru 2.26
Ru1 0.0000 0.5000 0.5000  2 Ge 2.26

Summary:
DFT total energy ... -0.2699 Ha/atom
V ... 18.4 Å³ per atom
Formation energy from the elements ... 3.62 eV per formula unit
Mass density ... 7.658 Mg/m³
Total moment ... 0.0 Bohr magnetons per cell



# 7
The following is a PBE-GGA calculation of a geometry-optimized TmTlAs2O8 structure, from Alexandria via LeMat-Bulk.

abc: 7.1457 7.1457 6.3275
angles: 90.00 90.00 90.00
With the nearest neighbours (Å) after each atom.
Space group I-4m2 (No. 119)
Symmetry-distinct sites (fractional):
Tm1 0.0000 0.0000 0.0000  8 O 2.31-2.36
Tl1 0.0000 0.5000 0.2500  8 O 2.34-2.43
As1 0.0000 0.0000 0.5000  4 O 1.72
As2 0.0000 0.5000 0.7500  4 O 1.72
O1 0.0000 0.1775 0.3152  1 As 1.72
O2 0.0000 0.3162 0.9266  1 As 1.72

Summary:
DFT total energy ... -0.2321 Ha/atom
V ... 13.5 Å³ per atom
Mass density ... 6.693 Mg/m³
Total moment ... 0.0 Bohr magnetons per cell
Raw formation energy ... -1.67 eV/atom



# 8
The following is a PBE-GGA calculation of a geometry-optimized Dy4YEr structure, from Alexandria via LeMat-Bulk.

abc: 8.7472 14.7807 6.4314
angles: 90.00 111.79 90.00
With the nearest neighbours (Å) after each atom.
Space group C2/c (No. 15)
Symmetry-distinct sites (fractional):
Dy1 0.0914 0.1975 0.0399  6 Dy 3.30-3.64, 2 Er 3.35-3.48, 1 Y 3.66
Dy2 0.2024 0.3733 0.3807  4 Dy 3.30-3.64, 2 Er 3.39-3.53, 2 Y 3.51-3.53
Y1 0.0000 0.4155 0.7500  10 Dy 3.51-3.83
Er1 0.0000 0.0033 0.7500  2 Er 3.22, 8 Dy 3.35-3.53

Summary:
DFT total energy ... -0.1751 Ha/atom
V ... 32.2 Å³ per atom
Formation energy from the elements ... 0.84 eV per formula unit
Mass density ... 7.796 Mg/m³
Total moment ... 0.0 Bohr magnetons per cell



# 9
The following is a PBE-GGA calculation of a geometry-optimized KGaC structure, from Alexandria via LeMat-Bulk.

abc: 6.4275 7.0310 6.2703
angles: 90.00 90.00 90.00
With the nearest neighbours (Å) after each atom.
Space group Cmcm (No. 63)
Symmetry-distinct sites (fractional):
K1 0.0000 0.0742 0.2500  3 C 3.04-3.25, 2 K 3.30, 2 Ga 3.38
Ga1 0.0000 0.5000 0.0000  2 C 1.86
C1 0.0000 0.3577 0.7500  2 Ga 1.86

Summary:
DFT total energy ... -0.1381 Ha/atom
V ... 23.6 Å³ per atom
Formation energy from the elements ... 2.07 eV per formula unit
Mass density ... 2.832 Mg/m³
Total moment ... 0.0 Bohr magnetons per cell



# 10
The following is a PBE-GGA calculation of a geometry-optimized MnV3Cl structure, from Alexandria via LeMat-Bulk.

abc: 4.2510 4.2510 4.2510
angles: 90.00 90.00 90.00
With the nearest neighbours (Å) after each atom.
Space group Pm-3m (No. 221)
Symmetry-distinct sites (fractional):
Mn1 0.0000 0.0000 0.0000  12 V 3.01
V1 0.0000 0.5000 0.5000  2 Cl 2.13
Cl1 0.5000 0.5000 0.5000  6 V 2.13

Summary:
DFT total energy ... -0.2594 Ha/atom
V ... 15.4 Å³ per atom
Mass density ... 5.257 Mg/m³
Total moment ... 2.4 Bohr magnetons per cell
Raw formation energy ... 0.61 eV/atom



# 11
The following is a PBE-GGA calculation of a geometry-optimized Cs4Hg2Cl structure, from Alexandria via LeMat-Bulk.

abc: 6.4956 6.4956 23.5537
angles: 90.00 90.00 90.00
With the nearest neighbours (Å) after each atom.
Space group I4/mmm (No. 139)
Symmetry-distinct sites (fractional):
Cs1 0.0000 0.0000 0.1820  1 Hg 3.84
Cs2 0.0000 0.5000 0.0000  2 Cl 3.25
Hg1 0.0000 0.0000 0.3449  1 Cl 3.65, 1 Cs 3.84
Cl1 0.0000 0.0000 0.5000  4 Cs 3.25

Summary:
DFT total energy ... -0.0506 Ha/atom
V ... 71.0 Å³ per atom
Mass density ... 3.236 Mg/m³
Total moment ... 0.0 Bohr magnetons per cell
Raw formation energy ... -0.54 eV/atom